1.
Material: Cs2MoIr
Method: DFT, GGA-PBE
State: relaxed

Geometry as extended XYZ:
```
8
Lattice="2.895 -4.215 8.731 -6.950 3.729 -6.337 0.793 -8.700 -5.105" Properties=species:S:1:pos:R:3 pbc="T T T"
Cs -0.599 -3.411 1.804
Cs -0.202 -7.761 -0.749
Cs -1.650 -5.653 -5.114
Cs -4.074 -1.546 -1.365
Ir 0.000 0.000 0.000
Ir -4.092 -2.607 -5.123
Mo 0.830 -6.579 2.411
Mo -2.028 -0.243 1.197
```

crystal system	tetragonal
M_tot	3.36	μB per formula unit

***

2.
Material: MgZnSe2
Method: DFT, GGA-PBE
State: relaxed

Geometry as extended XYZ:
```
4
Lattice="4.538 -0.099 0.000 -2.971 3.431 0.000 0.000 0.000 7.233" Properties=species:S:1:pos:R:3 pbc="T T T"
Se 0.000 0.000 0.059
Se 0.000 0.000 3.557
Mg 0.783 1.666 5.425
Zn 0.783 1.666 1.808
```

crystal system	orthorhombic
M_tot	0.00	μB per formula unit

***

3.
Material: Cs2TlMoS4
Method: DFT, GGA-PBE
State: relaxed

Geometry as extended XYZ:
```
16
Lattice="7.310 0.000 0.000 3.655 6.876 0.000 3.655 0.000 12.350" Properties=species:S:1:pos:R:3 pbc="T T T"
Mo 5.482 3.438 6.175
Mo 3.655 0.000 0.000
S 5.935 5.602 1.257
S 4.108 2.164 4.918
S 11.418 4.712 7.433
S 6.857 4.712 4.918
S 6.857 2.164 7.433
S 12.339 5.602 11.093
S 5.030 1.274 1.257
S 5.935 1.274 11.093
Cs 3.655 0.000 7.872
Cs 9.137 3.438 1.697
Cs 9.137 3.438 10.654
Cs 7.310 0.000 4.479
Tl 9.137 3.438 6.175
Tl 0.000 0.000 0.000
```

crystal system	orthorhombic
M_tot	1.01	μB per formula unit

***

4.
Material: HfCSN2
Method: DFT, GGA-PBE
State: relaxed

Geometry as extended XYZ:
```
5
Lattice="-0.062 4.041 0.890 -2.371 0.695 -3.320 -4.227 -0.697 2.873" Properties=species:S:1:pos:R:3 pbc="T T T"
Hf 0.000 0.000 0.000
N -1.186 0.348 -1.660
N -0.031 2.021 0.445
S -2.113 -0.349 1.436
C -3.330 2.020 0.221
```

crystal system	tetragonal
M_tot	1.48	μB per formula unit
ΔE to the lowest computed polymorph	2.78	eV per formula unit

***

Number 1: total energy -33.17 eV per cell, N(E_F) 4.168 states/eV/f.u.. Number 2: total energy -11.83 eV per cell, N(E_F) 1.106 states/eV/f.u.. Number 3: total energy -74.84 eV per cell, N(E_F) 4.320 states/eV/f.u.. Number 4: total energy -31.45 eV per cell, N(E_F) 3.208 states/eV/f.u..